{"formula": "Sr4Rh", "functional": "PBE", "state": "relaxed", "lattice": [[-4.4664, -3.1520, 2.4522], [2.8090, -5.0946, -1.4322], [2.8386, 0.0820, 5.2757]], "species": ["Sr", "Sr", "Sr", "Sr", "Rh"], "fractional_positions": [[0.0000, 0.0000, 0.0000], [0.5000, 0.0000, 0.5000], [0.0000, 0.5000, 0.5000], [0.5000, 0.5000, 0.0000], [0.5000, 0.5000, 0.5000]], "vol_a3_per_atom": 43.014, "formation_enthalpy_0k_mev_per_atom": -144, "polymorph_energy_mev_per_atom": 43, "dos_ef_per_ev_cell": 4.5, "dft_energy_ev_per_atom": -2.9595}